{
  "formula": "Li2NiO2F",
  "functional": "PBE+U",
  "state": "relaxed",
  "lattice": [[5.081, 0.000, 0.000], [-1.738, 4.782, 0.000], [-0.154, -0.320, 8.741]],
  "species": ["Li", "Li", "Li", "Li", "Li", "Li", "Li", "Li", "Ni", "Ni", "Ni", "Ni", "O", "O", "O", "O", "O", "O", "O", "O", "F", "F", "F", "F"],
  "frac_coords": [[0.000, 0.000, 0.000], [0.002, 0.488, 0.174], [0.018, 0.976, 0.679], [0.497, 0.481, 0.680], [0.506, 0.001, 0.502], [0.510, 0.988, 0.836], [0.521, 0.476, 0.337], [0.532, 0.993, 0.178], [0.004, 0.973, 0.334], [0.009, 0.484, 0.841], [0.049, 0.486, 0.493], [0.538, 0.501, 0.002], [0.218, 0.694, 0.677], [0.240, 0.744, 0.347], [0.245, 0.223, 0.496], [0.262, 0.272, 0.856], [0.763, 0.739, 0.173], [0.777, 0.267, 0.993], [0.781, 0.713, 0.841], [0.791, 0.230, 0.349], [0.271, 0.234, 0.175], [0.289, 0.751, 0.012], [0.745, 0.208, 0.671], [0.755, 0.724, 0.501]],
  "polymorph_energy_mev_per_atom": 129.4,
  "magmom_total_mub_per_fu": 2.000,
  "energy_ev_per_cell": -113.25
}